The following is a DFT calculation (PBE) of a relaxed Li4MnAu5 crystal.

Output
VASP energy: -3.7582 eV/atom
Symmetry: P4/mmm (123)

Lattice parameters (Å, degrees): 3.1805 3.1805 15.3588 90.00 90.00 90.00
Element x y z (fractional)
1 Li 0.0000 0.0000 0.2064
2 Li 0.0000 0.0000 0.5982
3 Li 0.0000 0.0000 0.4018
4 Li 0.0000 0.0000 0.7936
5 Mn 0.0000 0.0000 0.0000
6 Au 0.5000 0.5000 0.3037
7 Au 0.5000 0.5000 0.8937
8 Au 0.5000 0.5000 0.6963
9 Au 0.5000 0.5000 0.5000
10 Au 0.5000 0.5000 0.1063

The following is a DFT calculation (PBE) of a relaxed LiMg6Ir2 crystal.

Output
VASP energy: -3.5389 eV/atom
Symmetry: P-3m1 (164)

Lattice parameters (Å, degrees): 4.5835 4.5842 8.4960 90.00 90.00 120.00
Element x y z (fractional)
1 Mg 0.6666 0.3332 0.0664
2 Mg 0.3334 0.6668 0.9336
3 Mg 0.3334 0.6668 0.5949
4 Mg 0.9997 0.9995 0.1982
5 Mg 0.6666 0.3332 0.4051
6 Mg 0.0003 0.0005 0.8018
7 Ir 0.3331 0.6661 0.2593
8 Ir 0.6669 0.3339 0.7407
9 Li 0.0000 0.0000 0.5000

The following is a DFT calculation (PBE) of a relaxed Pr8Te4Pt3Br crystal.

Output
Raw formation energy: -1273.0 meV/atom
Symmetry: R-3m (166)

Lattice parameters (Å, degrees): 8.6802 9.0386 8.6807 118.70 120.00 90.00
Element x y z (fractional)
1 Pt 0.5000 0.5000 0.0000
2 Pt 0.5000 0.5000 0.5000
3 Pt 0.0000 0.5000 0.5000
4 Pr 0.2731 0.2730 0.0230
5 Pr 0.2500 0.7269 0.5001
6 Pr 0.2634 0.2902 0.5267
7 Pr 0.7366 0.7098 0.4733
8 Pr 0.7500 0.2731 0.4999
9 Pr 0.7269 0.7270 0.9770
10 Pr 0.7499 0.2730 0.0230
11 Pr 0.2501 0.7270 0.9770
12 Te 0.0000 0.0000 0.0000
13 Te 0.5000 0.0000 0.0000
14 Te 0.5000 0.0000 0.5000
15 Te 0.0000 0.0000 0.5000
16 Br 0.0000 0.5000 0.0000

The following is a DFT calculation (PBE) of a relaxed As2H4Br5 crystal.

Output
VASP energy: -2.8369 eV/atom
Symmetry: C2/m (12)

Lattice parameters (Å, degrees): 3.3702 9.5484 9.0268 88.33 100.76 90.00
Element x y z (fractional)
1 H 0.2846 0.2341 0.5692
2 H 0.9856 0.2734 0.9712
3 H 0.0144 0.7266 0.0288
4 H 0.7154 0.7659 0.4308
5 Br 0.7959 0.1818 0.5918
6 Br 0.2041 0.8182 0.4082
7 Br 0.5000 0.0000 0.0000
8 Br 0.8830 0.5588 0.7659
9 Br 0.1170 0.4412 0.2341
10 As 0.9328 0.7878 0.8657
11 As 0.0672 0.2122 0.1343

The following is a DFT calculation (PBE) of a relaxed Pr6SnS4 crystal.

Output
Raw formation energy: -1628.0 meV/atom
Symmetry: Cmcm (63)

Lattice parameters (Å, degrees): 4.2281 7.1037 20.8980 90.00 90.00 107.31
Element x y z (fractional)
1 Pr 0.7699 0.5398 0.4167
2 Pr 0.6669 0.3337 0.7500
3 Pr 0.2301 0.4602 0.9167
4 Pr 0.5000 0.0000 0.0000
5 Pr 0.3331 0.6663 0.2500
6 Pr 0.2301 0.4602 0.5833
7 Pr 0.0387 0.0775 0.3417
8 Pr 0.9613 0.9225 0.8417
9 Pr 0.5000 0.0000 0.5000
10 Pr 0.7699 0.5398 0.0833
11 Pr 0.9613 0.9225 0.6583
12 Pr 0.0387 0.0775 0.1583
13 S 0.4031 0.8062 0.1230
14 S 0.1366 0.2733 0.0395
15 S 0.1366 0.2733 0.4605
16 S 0.8634 0.7267 0.5395
17 S 0.8634 0.7267 0.9605
18 S 0.5969 0.1938 0.6230
19 S 0.4031 0.8062 0.3770
20 S 0.5969 0.1938 0.8770
21 Sn 0.3421 0.6841 0.7500
22 Sn 0.6579 0.3159 0.2500

The following is a DFT calculation (PBE) of a relaxed Rb4LiMn2 crystal.

Output
VASP energy: -2.6072 eV/atom
Symmetry: I4/mmm (139)

Lattice parameters (Å, degrees): 6.7312 6.7312 9.9349 70.20 70.20 90.00
Element x y z (fractional)
1 Li 0.0000 0.0000 0.0000
2 Rb 0.2143 0.2143 0.5714
3 Rb 0.0000 0.5000 0.0000
4 Rb 0.7857 0.7857 0.4286
5 Rb 0.5000 0.0000 0.0000
6 Mn 0.5731 0.5731 0.8539
7 Mn 0.4269 0.4269 0.1461

The following is a DFT calculation (PBE) of a relaxed LaCeZnCd crystal.

Output
Symmetry: P4mm (99)
ΔE to the lowest computed polymorph: 0 meV/atom

Lattice parameters (Å, degrees): 3.7600 3.7600 7.6682 90.00 90.00 90.00
Element x y z (fractional)
1 Zn 0.0000 0.0000 0.5600
2 Cd 0.0000 0.0000 0.0814
3 Ce 0.5000 0.5000 0.3428
4 La 0.5000 0.5000 0.8006

The following is a DFT calculation (PBE) of a relaxed Sm2YHoSc4 crystal.

Output
VASP energy: -5.6723 eV/atom
Symmetry: P4/mmm (123)

Lattice parameters (Å, degrees): 4.9539 4.9457 10.4876 61.87 90.00 90.00
Element x y z (fractional)
1 Sc 0.5000 0.2513 0.7488
2 Sc 0.0000 0.7513 0.7487
3 Sc 0.0000 0.2487 0.2513
4 Sc 0.5000 0.7487 0.2512
5 Ho 0.0000 0.5000 0.5000
6 Sm 0.0000 0.0000 0.0000
7 Sm 0.5000 0.0000 0.5000
8 Y 0.5000 0.5000 0.0000

The following is a DFT calculation (PBE) of a relaxed LiTiAl crystal.

Output
Symmetry: F-43m (216)
ΔE to the lowest computed polymorph: 860 meV/atom

Lattice parameters (Å, degrees): 4.4376 4.4376 4.4376 60.00 60.00 60.00
Element x y z (fractional)
1 Al 0.7500 0.7500 0.7500
2 Ti 0.5000 0.5000 0.5000
3 Li 0.2500 0.2500 0.2500

The following is a DFT calculation (PBE) of a relaxed K2CdBi2 crystal.

Output
Symmetry: I4/mmm (139)
ΔE to the lowest computed polymorph: 236 meV/atom

Lattice parameters (Å, degrees): 7.1740 7.1740 6.7369 57.83 57.83 90.00
Element x y z (fractional)
1 Bi 0.6728 0.6728 0.6543
2 Bi 0.3272 0.3272 0.3457
3 K 0.2500 0.7500 0.5000
4 K 0.7500 0.2500 0.5000
5 Cd 0.0000 0.0000 0.0000